(1)
Density functional theory data (GGA-PBE) for a relaxed structure of TcSbAs.

Results
Uncorrected energy   -6.3677 eV per atom
Formation energy without anion corrections   1 kJ/mol of atoms
Density   8.29 g/cm³

a = 3.336 Å, b = 3.336 Å, c = 6.125 Å
α = 90.00°, β = 90.00°, γ = 120.00°
Element x y z (fractional)
As 0.000 0.000 0.950
Tc 0.333 0.667 0.686
Sb 0.667 0.333 0.364

=====

(2)
Density functional theory data (GGA-PBE) for a relaxed structure of GaPt2O2.

Results
Uncorrected energy   -5.4030 eV per atom
Formation energy without anion corrections   -38 kJ/mol of atoms
Density   12.73 g/cm³

a = 5.399 Å, b = 5.399 Å, c = 4.404 Å
α = 90.00°, β = 90.00°, γ = 90.00°
Element x y z (fractional)
Pt 0.823 0.323 0.500
Pt 0.177 0.677 0.500
Pt 0.677 0.823 0.500
Pt 0.323 0.177 0.500
O 0.197 0.697 0.000
O 0.803 0.303 0.000
O 0.697 0.803 0.000
O 0.303 0.197 0.000
Ga 0.500 0.500 0.000
Ga 0.000 0.000 0.000

=====

(3)
Density functional theory data (GGA-PBE) for a relaxed structure of TbAs3Rh3.

Results
Uncorrected energy   -6.1290 eV per atom
Formation enthalpy at 0 K   -0.324 eV per atom
Density   7.70 g/cm³

a = 6.685 Å, b = 6.685 Å, c = 6.685 Å
α = 90.00°, β = 90.00°, γ = 90.00°
Element x y z (fractional)
As 0.500 0.000 0.250
As 0.500 0.000 0.750
As 0.750 0.500 0.000
As 0.000 0.250 0.500
As 0.250 0.500 0.000
As 0.000 0.750 0.500
Tb 0.500 0.500 0.500
Tb 0.000 0.000 0.000
Rh 0.000 0.500 0.750
Rh 0.750 0.000 0.500
Rh 0.500 0.250 0.000
Rh 0.000 0.500 0.250
Rh 0.250 0.000 0.500
Rh 0.500 0.750 0.000

=====

(4)
Density functional theory data (GGA-PBE) for a relaxed structure of As2SeIN.

Results
Uncorrected energy   -2.0759 eV per atom
Formation energy without anion corrections   237 kJ/mol of atoms
Density   3.93 g/cm³

a = 5.455 Å, b = 5.455 Å, c = 5.250 Å
α = 90.00°, β = 90.00°, γ = 90.00°
Element x y z (fractional)
N 0.500 0.500 0.500
Se 0.000 0.000 0.500
As 0.000 0.500 0.000
As 0.500 0.000 0.000
I 0.000 0.000 0.000